# OsPt7 SCAN single point on PBEsol structure
# formation energy	136	meV per atom
# total energy	-70.268	eV per atom
data_OsPt7
_space_group_name_H-M_alt 'F m -3 m'
_space_group_IT_number 225
_space_group_name_Hall '-F 4 2 3'
_cell_length_a 7.801
_cell_length_b 7.801
_cell_length_c 7.801
_cell_angle_alpha 90.00
_cell_angle_beta 90.00
_cell_angle_gamma 90.00
loop_
_atom_site_label
_atom_site_type_symbol
_atom_site_fract_x
_atom_site_fract_y
_atom_site_fract_z
Os1 Os 0.000 0.000 0.000
Pt1 Pt 0.000 0.000 0.500
Pt2 Pt 0.000 0.250 0.250

# Os5Pt SCAN single point on PBEsol structure
# formation energy	72	meV per atom
# energy above the most stable polymorph in this dataset	0	kJ/mol of formula units
# total energy	-71.527	eV per atom
data_Os5Pt
_space_group_name_H-M_alt 'A m m 2'
_space_group_IT_number 38
_cell_length_a 4.345
_cell_length_b 2.738
_cell_length_c 14.250
_cell_angle_alpha 90.00
_cell_angle_beta 90.00
_cell_angle_gamma 90.00
loop_
_space_group_symop_operation_xyz
'x,y,z'
'-x,-y,z'
'-x,y,z'
'x,-y,z'
'x,y+1/2,z+1/2'
'-x,-y+1/2,z+1/2'
'-x,y+1/2,z+1/2'
'x,-y+1/2,z+1/2'
loop_
_atom_site_label
_atom_site_type_symbol
_atom_site_fract_x
_atom_site_fract_y
_atom_site_fract_z
Os1 Os 0.000 0.000 0.000
Os2 Os 0.000 0.000 0.331
Os3 Os 0.000 0.000 0.665
Os4 Os 0.500 0.000 0.112
Os5 Os 0.500 0.000 0.772
Pt1 Pt 0.500 0.000 0.442

# OsPt2 SCAN single point on PBEsol structure
# formation energy	113	meV per atom
# energy above the most stable polymorph in this dataset	3	kJ/mol of formula units
# total energy	-70.642	eV per atom
data_OsPt2
_space_group_name_H-M_alt 'P -3 m 1'
_space_group_IT_number 164
_space_group_name_Hall '-P 3 2"'
_cell_length_a 2.7460
_cell_length_b 2.7460
_cell_length_c 6.7068
_cell_angle_alpha 90.00
_cell_angle_beta 90.00
_cell_angle_gamma 120.00
loop_
_atom_site_label
_atom_site_type_symbol
_atom_site_fract_x
_atom_site_fract_y
_atom_site_fract_z
Os1 Os 0.0000 0.0000 0.0000
Pt1 Pt 0.3333 0.6667 0.6746

# RbZnOs2Pt SCAN single point on PBEsol structure
# formation energy	1862	meV per atom
# total energy	-47.780	eV per atom
data_RbZnOs2Pt
_space_group_name_H-M_alt 'P 4/m m m'
_space_group_IT_number 123
_space_group_name_Hall '-P 4 2'
_cell_length_a 4.669
_cell_length_b 4.669
_cell_length_c 4.755
_cell_angle_alpha 90.00
_cell_angle_beta 90.00
_cell_angle_gamma 90.00
loop_
_atom_site_label
_atom_site_type_symbol
_atom_site_fract_x
_atom_site_fract_y
_atom_site_fract_z
Rb1 Rb 0.000 0.000 0.000
Zn1 Zn 0.500 0.500 0.500
Os1 Os 0.000 0.500 0.500
Pt1 Pt 0.500 0.500 0.000

# Re2OsPt SCAN single point on PBEsol structure
# formation energy	608	meV per atom
# energy above the most stable polymorph in this dataset	294	kJ/mol of formula units
# total energy	-70.459	eV per atom
data_Re2OsPt
_space_group_name_H-M_alt 'F m -3 m'
_space_group_IT_number 225
_space_group_name_Hall '-F 4 2 3'
_cell_length_a 6.186
_cell_length_b 6.186
_cell_length_c 6.186
_cell_angle_alpha 90.00
_cell_angle_beta 90.00
_cell_angle_gamma 90.00
loop_
_atom_site_label
_atom_site_type_symbol
_atom_site_fract_x
_atom_site_fract_y
_atom_site_fract_z
Re1 Re 0.250 0.250 0.250
Os1 Os 0.000 0.000 0.000
Pt1 Pt 0.000 0.000 0.500

# Re2OsPt SCAN single point on PBEsol structure
# formation energy	-154	meV per atom
# energy above the most stable polymorph in this dataset	0	kJ/mol of formula units
# total energy	-71.221	eV per atom
data_Re2OsPt
_space_group_name_H-M_alt 'P m m 2'
_space_group_IT_number 25
_cell_length_a 2.744
_cell_length_b 4.374
_cell_length_c 4.792
_cell_angle_alpha 90.00
_cell_angle_beta 90.00
_cell_angle_gamma 90.00
loop_
_space_group_symop_operation_xyz
'x,y,z'
'-x,-y,z'
'-x,y,z'
'x,-y,z'
loop_
_atom_site_label
_atom_site_type_symbol
_atom_site_fract_x
_atom_site_fract_y
_atom_site_fract_z
Re1 Re 0.000 0.000 0.000
Re2 Re 0.000 0.500 0.326
Os1 Os 0.500 0.500 0.830
Pt1 Pt 0.500 0.000 0.496

# Re2OsPt SCAN single point on PBEsol structure
# formation energy	5	meV per atom
# energy above the most stable polymorph in this dataset	62	kJ/mol of formula units
# total energy	-71.062	eV per atom
data_Re2OsPt
_space_group_name_H-M_alt 'R -3 m'
_space_group_IT_number 166
_space_group_name_Hall '-R 3 2"'
_cell_length_a 2.7271
_cell_length_b 2.7271
_cell_length_c 26.9233
_cell_angle_alpha 90.00
_cell_angle_beta 90.00
_cell_angle_gamma 120.00
loop_
_atom_site_label
_atom_site_type_symbol
_atom_site_fract_x
_atom_site_fract_y
_atom_site_fract_z
Re1 Re 0.0000 0.0000 0.2483
Os1 Os 0.0000 0.0000 0.5000
Pt1 Pt 0.0000 0.0000 0.0000

# Re2OsPt SCAN single point on PBEsol structure
# formation energy	436	meV per atom
# energy above the most stable polymorph in this dataset	228	kJ/mol of formula units
# total energy	-70.631	eV per atom
data_Re2OsPt
_space_group_name_H-M_alt 'F -4 3 m'
_space_group_IT_number 216
_space_group_name_Hall 'F -4 2 3'
_cell_length_a 6.177
_cell_length_b 6.177
_cell_length_c 6.177
_cell_angle_alpha 90.00
_cell_angle_beta 90.00
_cell_angle_gamma 90.00
loop_
_atom_site_label
_atom_site_type_symbol
_atom_site_fract_x
_atom_site_fract_y
_atom_site_fract_z
Re1 Re 0.000 0.000 0.000
Re2 Re 0.250 0.250 0.250
Os1 Os 0.250 0.250 0.750
Pt1 Pt 0.000 0.000 0.500